Arrangement w

First-principles (PBE) data for crystalline Ho2PaTl at its relaxed geometry, as listed in Alexandria.

As for the crystal system: tetragonal.

The structure belongs to space group P4/mmm (No. 123); the cell edges are 3.459, 3.459 and 9.204 Å and the angles 90.00°, 90.00° and 90.00°. The asymmetric unit holds Ho at (0.000, 0.000, 0.244), Pa at (0.500, 0.500, 0.500) and Tl at (0.500, 0.500, 0.000).

Arrangement x

First-principles (PBE) data for crystalline Ho2PaTl at its relaxed geometry, as listed in Alexandria.

As for the crystal system: trigonal.

The structure belongs to space group R-3m (No. 166, hexagonal axes); the cell edges are 3.2960, 3.2960 and 35.6888 Å and the angles 90.00°, 90.00° and 120.00°. The asymmetric unit holds Ho at (0.0000, 0.0000, 0.0907), Pa at (0.0000, 0.0000, 0.0000) and Tl at (0.0000, 0.0000, 0.5000).

Most stable: arrangement w